(1)
Below is a relaxed La6ErTm5 crystal, with properties calculated at the PBE-GGA level.

a = 6.1118 Å, b = 7.4418 Å, c = 8.8742 Å
α = 90.00°, β = 94.11°, γ = 90.00°
Closest atoms and distances in Å follow each position.
Atoms (fractional coordinates):
Tm  0.3334  0.0000  0.6665  8 La 3.58, 3 Tm 3.71-3.72, 1 Er 3.71
Tm  0.6666  0.0000  0.3335  8 La 3.58, 3 Tm 3.71-3.72, 1 Er 3.71
Tm  0.3332  0.5000  0.6666  8 La 3.58, 4 Tm 3.71-3.72
Tm  0.0000  0.5000  0.0000  8 La 3.58, 2 Tm 3.71, 2 Er 3.72
Tm  0.6668  0.5000  0.3334  8 La 3.58, 4 Tm 3.71-3.72
La  0.5000  0.7498  0.0000  6 Tm 3.58, 2 Er 3.58, 4 La 3.71-3.72
La  0.1668  0.7499  0.3335  7 Tm 3.58, 1 Er 3.58, 4 La 3.71-3.72
La  0.1668  0.2501  0.3335  7 Tm 3.58, 1 Er 3.58, 4 La 3.71-3.72
La  0.5000  0.2502  0.0000  6 Tm 3.58, 2 Er 3.58, 4 La 3.71-3.72
La  0.8332  0.2501  0.6665  7 Tm 3.58, 1 Er 3.58, 4 La 3.71-3.72
La  0.8332  0.7499  0.6665  7 Tm 3.58, 1 Er 3.58, 4 La 3.71-3.72
Er  0.0000  0.0000  0.0000  8 La 3.58, 4 Tm 3.71-3.72

Symmetry: P2/m (10)



(2)
Below is a relaxed Pr2Be3InPt4 crystal, with properties calculated at the PBE-GGA level.

a = 4.1446 Å, b = 4.1446 Å, c = 10.4057 Å
α = 90.00°, β = 90.00°, γ = 90.00°
Closest atoms and distances in Å follow each position.
Atoms (fractional coordinates):
Pr  0.5000  0.0000  0.2358  8 Pt 3.11-3.21, 6 Be 3.21-3.44, 2 In 3.44
Pr  0.0000  0.5000  0.7642  8 Pt 3.11-3.21, 6 Be 3.21-3.44, 2 In 3.44
Be  0.0000  0.5000  0.1102  5 Pt 2.36-2.37
Be  0.0000  0.0000  0.5000  4 Pt 2.68, 4 In 2.93
Be  0.5000  0.0000  0.8898  5 Pt 2.36-2.37
Pt  0.0000  0.5000  0.3368  1 Be 2.36
Pt  0.5000  0.0000  0.6632  1 Be 2.36
Pt  0.0000  0.0000  0.0000  4 Be 2.37
Pt  0.5000  0.5000  0.0000  4 Be 2.37
In  0.5000  0.5000  0.5000  4 Pt 2.68, 4 Be 2.93

Symmetry: P-4m2 (115)



(3)
Below is a relaxed BaPb3Au crystal, with properties calculated at the PBE-GGA level.

a = 6.9037 Å, b = 6.8391 Å, c = 6.9446 Å
α = 90.00°, β = 90.01°, γ = 90.00°
Closest atoms and distances in Å follow each position.
Atoms (fractional coordinates):
Au  0.6442  0.5868  0.2003  5 Pb 2.85-3.00
Au  0.1442  0.7661  0.7002  5 Pb 2.85-3.00
Pb  0.9635  0.4568  0.9476  2 Au 2.96-3.00
Pb  0.3456  0.2984  0.2010  1 Au 2.85
Pb  0.9630  0.4566  0.4539  2 Au 2.96-2.99
Pb  0.4631  0.8961  0.9539  2 Au 2.96-2.99
Pb  0.4636  0.8960  0.4476  2 Au 2.96-3.00
Pb  0.8455  0.0543  0.7011  1 Au 2.85
Ba  0.4618  0.4000  0.7010  1 Au 3.33, 3 Pb 3.55-3.63
Ba  0.9618  0.9528  0.2011  1 Au 3.33, 3 Pb 3.55-3.63

Symmetry: Pc (7)



For each record above, in turn, the calculated density values are 7.612 11.185 9.682 Mg/m³.
For each record above, in turn, the calculated energy relative to the elements values are 0.026 -0.778 -0.325 eV/atom.